(1)
Density functional theory data (PBE) for DyP3Ru4 after structural relaxation.

Calculated values
Spin magnetization (μB/atom): 0.00

Unit cell a=4.0232 b=4.0232 c=7.5271 alpha=90.00 beta=90.00 gamma=90.00
With the nearest neighbours (Å) after each atom.
Space group P4/mmm (No. 123)
Symmetry-distinct sites (fractional):
Dy: 0.0000 0.0000 0.0000 (multiplicity 1)  8 P 3.10, 8 Ru 3.10
P: 0.0000 0.0000 0.5000 (multiplicity 1)  8 Ru 2.45
P: 0.5000 0.5000 0.1628 (multiplicity 2)  4 Ru 2.31, 1 P 2.45
Ru: 0.0000 0.5000 0.3132 (multiplicity 4)  4 P 2.31-2.45

***

(2)
Density functional theory data (PBE) for DyP12Ru4 after structural relaxation.

Calculated values
Spin magnetization (μB/atom): 0.00

Unit cell a=8.0772 b=8.0772 c=8.0772 alpha=90.00 beta=90.00 gamma=90.00
With the nearest neighbours (Å) after each atom.
Space group Im-3 (No. 204)
Symmetry-distinct sites (fractional):
Dy: 0.0000 0.0000 0.0000 (multiplicity 2)  12 P 3.10
P: 0.0000 0.1427 0.3569 (multiplicity 24)  2 P 2.31, 2 Ru 2.36
Ru: 0.2500 0.2500 0.2500 (multiplicity 8)  6 P 2.36

***

Looking at electronic total energy for the records above, in order, we have -0.2955; -0.2538 hartree per atom.
Looking at ΔE_f for the records above, in order, we have -0.798; -0.634 eV/atom.